No. 1
! CaCoSe3 PBE relaxed; values from VASP
&SYSTEM
  ibrav = 0, nat = 5, ntyp = 3
/
ATOMIC_SPECIES
Se 78.96 Se.upf
Co 58.93 Co.upf
Ca 40.08 Ca.upf
CELL_PARAMETERS angstrom
5.380 0.000 0.000
0.000 5.380 0.000
0.000 0.000 5.380
ATOMIC_POSITIONS crystal
Se 0.500 0.000 0.000
Se 0.000 0.000 0.500
Se 0.000 0.500 0.000
Co 0.500 0.500 0.500
Ca 0.000 0.000 0.000
! Excess energy over the best structure of this formula in the dataset: 1133 meV/atom
! Space-group type: No. 221
! Calculated density: 3.58 g/cm3

***

No. 2
! CaCoSe3 PBE relaxed; values from VASP
&SYSTEM
  ibrav = 0, nat = 5, ntyp = 3
/
ATOMIC_SPECIES
Se 78.96 Se.upf
Ca 40.08 Ca.upf
Co 58.93 Co.upf
CELL_PARAMETERS angstrom
4.792 0.000 0.000
0.000 4.792 0.000
0.000 0.000 4.792
ATOMIC_POSITIONS crystal
Se 0.500 0.000 0.000
Se 0.000 0.500 0.000
Se 0.000 0.000 0.500
Ca 0.500 0.500 0.500
Co 0.000 0.000 0.000
! Excess energy over the best structure of this formula in the dataset: 0 meV/atom
! Space-group type: No. 221
! Calculated density: 5.07 g/cm3

***

No. 3
! CaCoSe2 PBE relaxed; values from VASP
&SYSTEM
  ibrav = 0, nat = 4, ntyp = 3
/
ATOMIC_SPECIES
Se 78.96 Se.upf
Ca 40.08 Ca.upf
Co 58.93 Co.upf
CELL_PARAMETERS angstrom
-3.147 -1.499 -2.770
1.289 -4.186 0.801
-3.258 -0.268 3.847
ATOMIC_POSITIONS crystal
Se 0.500 0.000 0.347
Se 0.000 0.500 0.653
Ca 0.000 0.000 0.000
Co 0.500 0.500 0.500
! Excess energy over the best structure of this formula in the dataset: 124 meV/atom
! Space-group type: No. 115
! Calculated density: 4.26 g/cm3

***

No. 4
! CaCo4Se PBE relaxed; values from VASP
&SYSTEM
  ibrav = 0, nat = 6, ntyp = 3
/
ATOMIC_SPECIES
Co 58.93 Co.upf
Ca 40.08 Ca.upf
Se 78.96 Se.upf
CELL_PARAMETERS angstrom
0.000 3.539 3.539
3.539 0.000 3.539
3.539 3.539 0.000
ATOMIC_POSITIONS crystal
Co 0.875 0.375 0.375
Co 0.375 0.375 0.375
Co 0.375 0.375 0.875
Co 0.375 0.875 0.375
Ca 0.000 0.000 0.000
Se 0.750 0.750 0.750
! Space-group type: No. 216
! Calculated density: 6.65 g/cm3

***

No. 5
! CaCo2Se PBE relaxed; values from VASP
&SYSTEM
  ibrav = 0, nat = 4, ntyp = 3
/
ATOMIC_SPECIES
Se 78.96 Se.upf
Co 58.93 Co.upf
Ca 40.08 Ca.upf
CELL_PARAMETERS angstrom
-4.185 -0.345 -1.823
-2.988 -3.031 1.685
-3.649 1.449 2.355
ATOMIC_POSITIONS crystal
Se 0.750 0.750 0.750
Co 0.250 0.250 0.250
Co 0.000 0.000 0.000
Ca 0.500 0.500 0.500
! Space-group type: No. 216
! Calculated density: 5.80 g/cm3

***

No. 6
! CaVCoSe2 PBE relaxed; values from VASP
&SYSTEM
  ibrav = 0, nat = 5, ntyp = 4
/
ATOMIC_SPECIES
V 50.94 V.upf
Co 58.93 Co.upf
Se 78.96 Se.upf
Ca 40.08 Ca.upf
CELL_PARAMETERS angstrom
4.940 0.000 0.000
0.000 4.289 0.000
0.000 0.000 4.940
ATOMIC_POSITIONS crystal
V 0.000 0.500 0.000
Co 0.000 0.000 0.000
Se 0.500 0.000 0.000
Se 0.000 0.000 0.500
Ca 0.500 0.500 0.500
! Space-group type: No. 123
! Calculated density: 4.89 g/cm3

***

No. 7
! CaZr2CoSe PBE relaxed; values from VASP
&SYSTEM
  ibrav = 0, nat = 5, ntyp = 4
/
ATOMIC_SPECIES
Zr 91.22 Zr.upf
Ca 40.08 Ca.upf
Co 58.93 Co.upf
Se 78.96 Se.upf
CELL_PARAMETERS angstrom
4.700 0.000 0.000
0.000 5.651 0.000
0.000 0.000 4.700
ATOMIC_POSITIONS crystal
Zr 0.000 0.000 0.500
Zr 0.500 0.000 0.000
Ca 0.000 0.500 0.000
Co 0.000 0.000 0.000
Se 0.500 0.500 0.500
! Space-group type: No. 123
! Calculated density: 4.80 g/cm3

***

No. 8
! CaCoSi2 PBE relaxed; values from VASP
&SYSTEM
  ibrav = 0, nat = 4, ntyp = 3
/
ATOMIC_SPECIES
Co 58.93 Co.upf
Si 28.09 Si.upf
Ca 40.08 Ca.upf
CELL_PARAMETERS angstrom
-2.340 -1.807 0.335
1.792 -2.119 1.093
-0.991 2.475 6.423
ATOMIC_POSITIONS crystal
Co 0.500 0.500 0.750
Si 0.000 0.000 0.932
Si 0.000 0.000 0.568
Ca 0.500 0.500 0.250
! Space-group type: No. 123
! Calculated density: 4.18 g/cm3

***

No. 9
! CaCoSi2 PBE relaxed; values from VASP
&SYSTEM
  ibrav = 0, nat = 16, ntyp = 3
/
ATOMIC_SPECIES
Ca 40.08 Ca.upf
Si 28.09 Si.upf
Co 58.93 Co.upf
CELL_PARAMETERS angstrom
-0.861 -0.574 -3.703
-6.598 -1.592 1.781
-2.565 9.628 -0.895
ATOMIC_POSITIONS crystal
Ca 0.750 0.644 0.378
Ca 0.250 0.856 0.878
Ca 0.750 0.144 0.122
Ca 0.250 0.356 0.622
Si 0.750 0.669 0.077
Si 0.750 0.169 0.423
Si 0.250 0.831 0.577
Si 0.250 0.325 0.315
Si 0.750 0.675 0.685
Si 0.250 0.825 0.185
Si 0.250 0.331 0.923
Si 0.750 0.175 0.815
Co 0.750 0.506 0.883
Co 0.750 0.006 0.617
Co 0.250 0.494 0.117
Co 0.250 0.994 0.383
! Space-group type: No. 62
! Calculated density: 3.82 g/cm3

***

No. 10
! Ca2CoSi2 PBE relaxed; values from VASP
&SYSTEM
  ibrav = 0, nat = 5, ntyp = 3
/
ATOMIC_SPECIES
Ca 40.08 Ca.upf
Co 58.93 Co.upf
Si 28.09 Si.upf
CELL_PARAMETERS angstrom
3.988 -5.397 0.175
2.094 -2.887 5.687
-5.593 2.256 -2.949
ATOMIC_POSITIONS crystal
Ca 0.750 0.250 0.500
Ca 0.250 0.750 0.500
Co 0.000 0.000 0.000
Si 0.408 0.408 0.000
Si 0.592 0.592 0.000
! Space-group type: No. 139
! Calculated density: 2.72 g/cm3

***

No. 11
! CaCoSi2 PBE relaxed; values from VASP
&SYSTEM
  ibrav = 0, nat = 8, ntyp = 3
/
ATOMIC_SPECIES
Ca 40.08 Ca.upf
Co 58.93 Co.upf
Si 28.09 Si.upf
CELL_PARAMETERS angstrom
-4.749 0.327 -0.615
0.543 -0.913 -4.681
-2.765 -7.428 -1.332
ATOMIC_POSITIONS crystal
Ca 0.500 0.500 0.000
Ca 0.250 0.750 0.500
Co 0.000 0.000 0.000
Co 0.750 0.250 0.500
Si 0.875 0.124 0.750
Si 0.375 0.126 0.750
Si 0.874 0.125 0.250
Si 0.876 0.625 0.250
! Space-group type: No. 141
! Calculated density: 3.07 g/cm3

***

No. 12
! CaCoSi2 PBE relaxed; values from VASP
&SYSTEM
  ibrav = 0, nat = 4, ntyp = 3
/
ATOMIC_SPECIES
Si 28.09 Si.upf
Ca 40.08 Ca.upf
Co 58.93 Co.upf
CELL_PARAMETERS angstrom
3.897 -0.001 -0.003
1.953 3.372 -0.003
1.953 1.125 5.378
ATOMIC_POSITIONS crystal
Si 0.965 0.965 0.107
Si 0.706 0.706 0.882
Ca 0.507 0.507 0.481
Co 0.323 0.323 0.031
! Space-group type: No. 160
! Calculated density: 3.64 g/cm3

***

No. 13
! Ca2Co2Si PBE relaxed; values from VASP
&SYSTEM
  ibrav = 0, nat = 10, ntyp = 3
/
ATOMIC_SPECIES
Ca 40.08 Ca.upf
Co 58.93 Co.upf
Si 28.09 Si.upf
CELL_PARAMETERS angstrom
6.224 0.000 0.000
0.000 6.224 0.000
0.000 0.000 4.591
ATOMIC_POSITIONS crystal
Ca 0.320 0.180 0.500
Ca 0.820 0.320 0.500
Ca 0.180 0.680 0.500
Ca 0.680 0.820 0.500
Co 0.633 0.133 0.000
Co 0.367 0.867 0.000
Co 0.133 0.367 0.000
Co 0.867 0.633 0.000
Si 0.500 0.500 0.000
Si 0.000 0.000 0.000
! Space-group type: No. 127
! Calculated density: 4.22 g/cm3

***

No. 14
! Ca2Co12Si7 PBE relaxed; values from VASP
&SYSTEM
  ibrav = 0, nat = 21, ntyp = 3
/
ATOMIC_SPECIES
Co 58.93 Co.upf
Si 28.09 Si.upf
Ca 40.08 Ca.upf
CELL_PARAMETERS angstrom
3.667 0.000 0.000
0.000 7.900 -4.561
0.000 0.000 9.122
ATOMIC_POSITIONS crystal
Co 0.000 0.280 0.049
Co 0.500 0.235 0.779
Co 0.000 0.951 0.231
Co 0.000 0.769 0.720
Co 0.500 0.904 0.617
Co 0.500 0.713 0.096
Co 0.000 0.461 0.517
Co 0.500 0.383 0.287
Co 0.000 0.483 0.944
Co 0.500 0.544 0.765
Co 0.000 0.056 0.539
Co 0.500 0.221 0.456
Si 0.000 0.050 0.779
Si 0.000 0.221 0.271
Si 0.500 0.438 0.064
Si 0.000 0.729 0.950
Si 0.500 0.936 0.374
Si 0.500 0.626 0.562
Si 0.000 0.333 0.667
Ca 0.500 0.000 0.000
Ca 0.000 0.667 0.333
! Space-group type: No. 174
! Calculated density: 6.18 g/cm3

***

No. 15
! Ca2Co5Si4 PBE relaxed; values from VASP
&SYSTEM
  ibrav = 0, nat = 11, ntyp = 3
/
ATOMIC_SPECIES
Co 58.93 Co.upf
Si 28.09 Si.upf
Ca 40.08 Ca.upf
CELL_PARAMETERS angstrom
4.839 0.000 2.310
2.420 4.676 1.155
-0.391 0.000 7.042
ATOMIC_POSITIONS crystal
Co 0.750 0.500 0.500
Co 0.000 0.500 0.000
Co 0.250 0.500 0.500
Co 0.500 0.500 0.000
Co 0.500 0.000 0.000
Si 0.528 0.686 0.259
Si 0.213 0.314 0.259
Si 0.472 0.314 0.741
Si 0.787 0.686 0.741
Ca 0.869 0.000 0.262
Ca 0.131 0.000 0.738
! Space-group type: No. 69
! Calculated density: 4.95 g/cm3

***

No. 16
! Ca2CoSi2 PBE relaxed; values from VASP
&SYSTEM
  ibrav = 0, nat = 5, ntyp = 3
/
ATOMIC_SPECIES
Ca 40.08 Ca.upf
Si 28.09 Si.upf
Co 58.93 Co.upf
CELL_PARAMETERS angstrom
-6.579 4.634 4.280
-8.577 0.272 3.071
8.323 -3.394 -1.512
ATOMIC_POSITIONS crystal
Ca 0.401 0.401 0.000
Ca 0.599 0.599 0.000
Si 0.250 0.750 0.500
Si 0.750 0.250 0.500
Co 0.000 0.000 0.000
! Space-group type: No. 139
! Calculated density: 3.02 g/cm3

***

No. 17
! Ca2Co2Si PBE relaxed; values from VASP
&SYSTEM
  ibrav = 0, nat = 5, ntyp = 3
/
ATOMIC_SPECIES
Ca 40.08 Ca.upf
Si 28.09 Si.upf
Co 58.93 Co.upf
CELL_PARAMETERS angstrom
8.472 -3.936 1.021
8.500 -0.315 3.993
-9.332 0.744 -0.815
ATOMIC_POSITIONS crystal
Ca 0.611 0.611 0.000
Ca 0.389 0.389 0.000
Si 0.000 0.000 0.000
Co 0.250 0.750 0.500
Co 0.750 0.250 0.500
! Space-group type: No. 139
! Calculated density: 3.76 g/cm3

***

No. 18
! Ca4CoSi PBE relaxed; values from VASP
&SYSTEM
  ibrav = 0, nat = 6, ntyp = 3
/
ATOMIC_SPECIES
Ca 40.08 Ca.upf
Si 28.09 Si.upf
Co 58.93 Co.upf
CELL_PARAMETERS angstrom
0.000 4.398 4.398
4.398 0.000 4.398
4.398 4.398 0.000
ATOMIC_POSITIONS crystal
Ca 0.375 0.375 0.875
Ca 0.375 0.375 0.375
Ca 0.875 0.375 0.375
Ca 0.375 0.875 0.375
Si 0.000 0.000 0.000
Co 0.750 0.750 0.750
! Space-group type: No. 216
! Calculated density: 2.41 g/cm3

***

No. 19
! CaCo2Si PBE relaxed; values from VASP
&SYSTEM
  ibrav = 0, nat = 4, ntyp = 3
/
ATOMIC_SPECIES
Co 58.93 Co.upf
Ca 40.08 Ca.upf
Si 28.09 Si.upf
CELL_PARAMETERS angstrom
4.981 -0.003 0.000
2.263 4.437 0.000
-3.622 -2.217 2.603
ATOMIC_POSITIONS crystal
Co 0.000 0.000 0.000
Co 0.250 0.750 0.500
Ca 0.750 0.250 0.500
Si 0.500 0.500 0.000
! Space-group type: No. 119
! Calculated density: 5.37 g/cm3

***

No. 20
! CaCo2Si PBE relaxed; values from VASP
&SYSTEM
  ibrav = 0, nat = 4, ntyp = 3
/
ATOMIC_SPECIES
Ca 40.08 Ca.upf
Co 58.93 Co.upf
Si 28.09 Si.upf
CELL_PARAMETERS angstrom
3.854 0.000 0.000
0.000 3.010 0.023
0.000 1.182 5.738
ATOMIC_POSITIONS crystal
Ca 0.500 0.744 0.738
Co 0.000 0.987 0.117
Co 0.500 0.397 0.218
Si 0.000 0.372 0.426
! Space-group type: No. 6
! Calculated density: 4.65 g/cm3

***

No. 21
! CaCoSi2 PBE relaxed; values from VASP
&SYSTEM
  ibrav = 0, nat = 4, ntyp = 3
/
ATOMIC_SPECIES
Si 28.09 Si.upf
Co 58.93 Co.upf
Ca 40.08 Ca.upf
CELL_PARAMETERS angstrom
6.666 -0.015 -0.007
4.971 4.442 0.007
-5.665 -2.616 2.345
ATOMIC_POSITIONS crystal
Si 0.729 0.229 0.500
Si 0.092 0.092 0.000
Co 0.232 0.732 0.500
Ca 0.447 0.447 0.000
! Space-group type: No. 44
! Calculated density: 3.70 g/cm3

***

No. 22
! CaCo2Si PBE relaxed; values from VASP
&SYSTEM
  ibrav = 0, nat = 4, ntyp = 3
/
ATOMIC_SPECIES
Co 58.93 Co.upf
Si 28.09 Si.upf
Ca 40.08 Ca.upf
CELL_PARAMETERS angstrom
-3.383 3.792 1.606
-4.344 1.219 -2.837
2.795 -3.636 2.714
ATOMIC_POSITIONS crystal
Co 0.972 0.972 0.000
Co 0.737 0.237 0.500
Si 0.536 0.536 0.000
Ca 0.255 0.755 0.500
! Space-group type: No. 44
! Calculated density: 5.30 g/cm3

***

No. 23
! CaCoSi2 PBE relaxed; values from VASP
&SYSTEM
  ibrav = 0, nat = 4, ntyp = 3
/
ATOMIC_SPECIES
Si 28.09 Si.upf
Co 58.93 Co.upf
Ca 40.08 Ca.upf
CELL_PARAMETERS angstrom
-2.622 -2.635 1.122
-1.941 -2.060 -2.658
2.249 -5.265 -0.396
ATOMIC_POSITIONS crystal
Si 0.955 0.955 0.134
Si 0.545 0.545 0.366
Co 0.250 0.250 0.250
Ca 0.750 0.750 0.750
! Space-group type: No. 166
! Calculated density: 3.74 g/cm3

***

No. 24
! Ca2Co3Si4 PBE relaxed; values from VASP
&SYSTEM
  ibrav = 0, nat = 9, ntyp = 3
/
ATOMIC_SPECIES
Si 28.09 Si.upf
Co 58.93 Co.upf
Ca 40.08 Ca.upf
CELL_PARAMETERS angstrom
5.371 -0.196 0.000
-2.669 4.665 0.000
-1.351 -2.235 5.769
ATOMIC_POSITIONS crystal
Si 0.663 0.035 0.699
Si 0.035 0.663 0.699
Si 0.337 0.965 0.301
Si 0.965 0.337 0.301
Co 0.000 0.000 0.000
Co 0.000 0.500 0.000
Co 0.500 0.000 0.000
Ca 0.366 0.366 0.732
Ca 0.634 0.634 0.268
! Space-group type: No. 69
! Calculated density: 4.33 g/cm3

***

No. 25
! CaCoSi2 PBE relaxed; values from VASP
&SYSTEM
  ibrav = 0, nat = 4, ntyp = 3
/
ATOMIC_SPECIES
Ca 40.08 Ca.upf
Co 58.93 Co.upf
Si 28.09 Si.upf
CELL_PARAMETERS angstrom
1.449 1.916 3.756
1.650 4.141 -0.102
-2.297 3.360 1.819
ATOMIC_POSITIONS crystal
Ca 0.000 0.000 0.000
Co 0.500 0.500 0.500
Si 0.750 0.750 0.750
Si 0.250 0.250 0.250
! Space-group type: No. 225
! Calculated density: 4.11 g/cm3

***

No. 26
! CaCo2Si PBE relaxed; values from VASP
&SYSTEM
  ibrav = 0, nat = 8, ntyp = 3
/
ATOMIC_SPECIES
Co 58.93 Co.upf
Si 28.09 Si.upf
Ca 40.08 Ca.upf
CELL_PARAMETERS angstrom
4.525 0.000 0.000
0.000 4.525 0.000
2.262 2.262 7.746
ATOMIC_POSITIONS crystal
Co 0.875 0.625 0.750
Co 0.375 0.125 0.250
Co 0.375 0.625 0.750
Co 0.375 0.625 0.250
Si 0.500 0.500 0.000
Si 0.250 0.750 0.500
Ca 0.750 0.250 0.500
Ca 0.000 0.000 0.000
! Space-group type: No. 141
! Calculated density: 3.90 g/cm3

***

No. 27
! CaCo2Si PBE relaxed; values from VASP
&SYSTEM
  ibrav = 0, nat = 4, ntyp = 3
/
ATOMIC_SPECIES
Co 58.93 Co.upf
Si 28.09 Si.upf
Ca 40.08 Ca.upf
CELL_PARAMETERS angstrom
-2.420 -1.336 0.839
0.089 -1.649 -2.369
3.787 -6.256 0.966
ATOMIC_POSITIONS crystal
Co 0.000 0.936 0.064
Co 0.000 0.564 0.436
Si 0.500 0.250 0.250
Ca 0.500 0.750 0.750
! Space-group type: No. 10
! Calculated density: 5.46 g/cm3

***

| no. | E_tot (eV/atom) | total magnetization (μB per formula unit) |
| --- | --- | --- |
| 1 | -3.2743 | 4.119 |
| 2 | -4.4076 | 1.239 |
| 3 | -4.7522 | 0.674 |
| 4 | -5.4987 | 6.773 |
| 5 | -4.7100 | 3.255 |
| 6 | -5.2075 | 2.927 |
| 7 | -6.0160 | 0.000 |
| 8 | -5.2745 | 0.001 |
| 9 | -5.4882 | 0.000 |
| 10 | -3.8515 | 1.476 |
| 11 | -5.2445 | 0.000 |
| 12 | -5.4772 | 0.000 |
| 13 | -4.7915 | 0.688 |
| 14 | -6.5383 | 1.491 |
| 15 | -6.0822 | 0.000 |
| 16 | -4.1998 | 0.838 |
| 17 | -4.6609 | 2.814 |
| 18 | -2.5567 | 0.940 |
| 19 | -5.1358 | 0.664 |
| 20 | -5.4001 | 2.425 |
| 21 | -5.1907 | 0.000 |
| 22 | -5.2795 | 1.679 |
| 23 | -5.5094 | 0.137 |
| 24 | -5.6011 | 0.000 |
| 25 | -4.8770 | 0.000 |
| 26 | -5.3483 | 1.804 |
| 27 | -5.4789 | 0.000 |